Record 1
DFT (GGA-PBE) results for Tc2MoHOs after structural relaxation.

As for the relative energy among the computed polymorphs: 0 meV per atom. The calculation puts the total energy at -9.17 eV/atom.

It has space group P4/mmm (No. 123), with a = 3.926 Å, b = 3.926 Å, c = 3.975 Å, α = 90.00°, β = 90.00° and γ = 90.00°. The inequivalent atoms are Tc at (0.000, 0.500, 0.000), Mo at (0.000, 0.000, 0.500), H at (0.000, 0.000, 0.000) and Os at (0.500, 0.500, 0.500).


Record 2
DFT (GGA-PBE) results for TlCuOs2 after structural relaxation.

Its formation energy from the elements is 0.911 eV per atom. As for the relative energy among the computed polymorphs: 408 meV per atom. The calculation puts the total energy at -6.32 eV/atom.

It has space group R-3m (No. 166, hexagonal axes), with a = 2.8683 Å, b = 2.8683 Å, c = 26.7857 Å, α = 90.00°, β = 90.00° and γ = 120.00°. The inequivalent atoms are Tl at (0.0000, 0.0000, 0.0000), Cu at (0.0000, 0.0000, 0.5000) and Os at (0.0000, 0.0000, 0.2423).


Record 3
DFT (GGA-PBE) results for LiHo2PbS after structural relaxation.

For the raw formation energy, the calculation gives -1.002 eV per atom. The calculation puts the total energy at -4.78 eV/atom.

It has space group P2_1/m (No. 11), with a = 7.532 Å, b = 3.990 Å, c = 8.095 Å, α = 90.00°, β = 108.54° and γ = 90.00°. The inequivalent atoms are Li at (0.052, 0.250, 0.142), Ho at (0.256, 0.750, 0.520), Ho at (0.384, 0.750, 0.114), Pb at (0.172, 0.250, 0.795) and S at (0.354, 0.250, 0.331).


Record 4
DFT (GGA-PBE) results for Sr5Mn after structural relaxation.

Its formation energy from the elements is 0.708 eV per atom. As for the relative energy among the computed polymorphs: 478 meV per atom. The calculation puts the total energy at -2.22 eV/atom.

It has space group P6/mmm (No. 191), with a = 7.5034 Å, b = 7.5034 Å, c = 6.9176 Å, α = 90.00°, β = 90.00° and γ = 120.00°. The inequivalent atoms are Sr at (0.0000, 0.5000, 0.0000), Sr at (0.3333, 0.6667, 0.5000) and Mn at (0.0000, 0.0000, 0.5000).


Record 5
DFT (GGA-PBE) results for BMoW2Br after structural relaxation.

For the raw formation energy, the calculation gives 2.538 eV per atom. The calculation puts the total energy at -6.48 eV/atom.

It has space group P4/mmm (No. 123), with a = 4.762 Å, b = 4.762 Å, c = 3.737 Å, α = 90.00°, β = 90.00° and γ = 90.00°. The inequivalent atoms are B at (0.000, 0.000, 0.000), Mo at (0.500, 0.500, 0.000), W at (0.000, 0.500, 0.500) and Br at (0.000, 0.000, 0.500).


Record 6
DFT (GGA-PBE) results for La6Pm2SmSc after structural relaxation.

Its formation energy from the elements is 0.201 eV per atom. The calculation puts the total energy at -4.81 eV/atom.

It has space group C2/m (No. 12), with a = 11.501 Å, b = 6.894 Å, c = 9.294 Å, α = 90.00°, β = 108.58° and γ = 90.00°. The inequivalent atoms are La at (0.128, 0.000, 0.418), La at (0.202, 0.266, 0.811), Pm at (0.070, 0.500, 0.169), Sm at (0.000, 0.500, 0.500) and Sc at (0.000, 0.000, 0.000).